Entry 1:
Crystalline Tb12Cd3Ge5 at its relaxed geometry. Source: Alexandria, functional PBE.

Magnetization (Bohr magnetons per cell): 0.00
E_tot (eV per atom): -4.1880
Formation energy from the elements (eV per atom): -0.12
V (A^3/atom): 32.6
Calculated density (g/cm3): 6.635

Geometry as POSCAR:
```
Tb12Cd3Ge5
1.0
15.024 0.000 0.000
-5.008 14.165 0.000
-5.008 -7.082 12.267
Tb Ge Cd
48 20 12
Cartesian
5.564 6.169 9.614 Tb
3.087 8.961 0.981 Tb
1.921 1.789 11.131 Tb
0.556 8.782 8.251 Tb
1.921 -1.878 11.286 Tb
3.550 5.949 4.997 Tb
1.458 1.134 7.270 Tb
-6.054 3.761 8.787 Tb
6.465 10.843 3.480 Tb
11.062 3.321 3.480 Tb
-1.458 -3.761 8.787 Tb
4.452 -1.700 4.016 Tb
10.599 6.993 2.117 Tb
7.605 12.722 0.536 Tb
6.054 -1.134 7.270 Tb
-1.921 -0.089 10.149 Tb
-0.556 0.913 2.653 Tb
6.956 7.869 6.669 Tb
-0.583 8.871 1.136 Tb
-5.591 0.089 10.149 Tb
6.929 7.172 2.117 Tb
-3.060 7.996 9.614 Tb
-5.101 10.366 4.617 Tb
4.915 2.356 7.115 Tb
0.093 4.726 5.152 Tb
-1.046 8.216 4.997 Tb
1.948 5.382 8.251 Tb
5.591 -1.789 11.131 Tb
-1.458 4.895 10.750 Tb
-2.597 -5.640 11.731 Tb
-1.948 -0.787 5.598 Tb
3.060 1.700 4.016 Tb
5.591 1.878 11.286 Tb
2.411 9.438 5.152 Tb
9.923 1.442 0.536 Tb
-3.962 11.977 1.517 Tb
-2.597 3.284 7.650 Tb
-0.583 5.204 0.981 Tb
9.460 0.787 5.598 Tb
-4.915 5.640 11.731 Tb
-4.452 6.295 6.669 Tb
8.969 -4.895 10.750 Tb
6.466 2.188 1.517 Tb
7.605 3.799 4.617 Tb
3.087 5.293 1.136 Tb
2.597 -2.356 7.115 Tb
10.108 -3.284 7.650 Tb
8.068 -0.913 2.653 Tb
-1.252 0.885 7.667 Ge
6.260 3.541 9.200 Ge
1.252 -3.541 9.200 Ge
-1.252 3.541 3.067 Ge
1.252 4.426 10.734 Ge
8.764 -0.885 7.667 Ge
-2.504 7.082 0.000 Ge
-1.252 11.509 1.533 Ge
6.260 -4.426 10.734 Ge
-2.504 -3.541 6.133 Ge
3.756 2.656 1.533 Ge
5.008 7.082 0.000 Ge
-3.756 7.968 4.600 Ge
7.512 0.000 0.000 Ge
3.756 10.623 3.067 Ge
5.008 -3.541 6.133 Ge
2.504 3.541 6.133 Ge
6.260 6.197 4.600 Ge
0.000 0.000 0.000 Ge
-5.008 3.541 6.133 Ge
6.260 0.885 4.600 Cd
-3.756 2.656 10.734 Cd
-6.260 7.082 9.200 Cd
3.756 0.000 9.200 Cd
11.268 0.000 3.067 Cd
-3.756 -2.656 10.734 Cd
1.252 7.082 3.067 Cd
1.252 -0.885 4.600 Cd
-1.252 6.197 7.667 Cd
8.764 9.738 1.533 Cd
8.764 4.426 1.533 Cd
3.756 7.968 7.667 Cd
```

---

Entry 2:
Crystalline Tb6Cd5Ge at its relaxed geometry. Source: Alexandria, functional PBE.

Magnetization (Bohr magnetons per cell): 0.00
E_tot (eV per atom): -3.4740
Formation energy from the elements (eV per atom): -0.39
V (A^3/atom): 25.7
Calculated density (g/cm3): 8.541

Geometry as POSCAR:
```
Tb6Cd5Ge
1.0
-4.308 2.977 0.463
-3.025 -5.069 4.447
1.035 5.120 6.541
Tb Ge Cd
6 1 5
Cartesian
-2.868 0.291 1.282 Tb
-5.576 0.306 5.833 Tb
-4.465 -2.383 3.628 Tb
-4.032 2.894 3.562 Tb
-0.721 2.723 5.618 Tb
-2.266 0.134 7.889 Tb
0.000 0.000 0.000 Ge
-3.717 2.838 6.848 Cd
-1.012 2.789 2.490 Cd
-2.260 5.309 4.514 Cd
-2.581 0.190 4.603 Cd
-1.513 -2.535 2.223 Cd
```

---

Entry 3:
Crystalline TbTmCdGe at its relaxed geometry. Source: Alexandria, functional PBE.

Magnetization (Bohr magnetons per cell): 0.00
E_tot (eV per atom): -4.1139
Formation energy from the elements (eV per atom): -0.46
V (A^3/atom): 23.8
Calculated density (g/cm3): 8.958

Geometry as POSCAR:
```
TbTmCdGe
1.0
-2.380 -1.040 4.416
-1.966 -4.660 0.814
2.183 -3.141 3.408
Tb Ge Cd Tm
1 1 1 1
Cartesian
0.000 0.000 0.000 Tb
-0.541 -2.210 2.160 Ge
-1.623 -6.631 6.479 Cd
-1.082 -4.421 4.319 Tm
```

---

Entry 4:
Crystalline TbYCdGe at its relaxed geometry. Source: Alexandria, functional PBE.

Magnetization (Bohr magnetons per cell): 0.00
E_tot (eV per atom): -4.6433
Formation energy from the elements (eV per atom): -0.49
V (A^3/atom): 24.3
Calculated density (g/cm3): 7.405

Geometry as POSCAR:
```
TbYCdGe
1.0
5.159 0.000 0.000
2.579 4.467 0.000
2.579 1.489 4.212
Tb Ge Y Cd
1 1 1 1
Cartesian
0.000 0.000 0.000 Tb
2.579 1.489 1.053 Ge
5.159 2.978 2.106 Y
7.738 4.467 3.159 Cd
```